# Y2CoSiO

A relaxed structure of Y2CoSiO (PBE+U, Alexandria).

a b c (Å): 4.679 4.028 4.679
angles (deg): 90.00 90.00 90.00
Last column: magnetic moment on the atom in μB.
Positions (direct):
Co: 0.000 0.500 0.000  1.74
Y: 0.500 0.000 0.000  -0.10
Y: 0.000 0.000 0.500  -0.12
Si: 0.500 0.500 0.500  0.05
O: 0.000 0.000 0.000  -0.04

DOS at the Fermi energy = 1.77 states/eV/cell
space group = P4/mmm
spin magnetization = 1.37 Bohr magnetons per cell
final energy = -6.828 eV per atom